! Ru2PtO2 | the Alexandria database | meta-GGA SCAN | single point on PBEsol structure; values from VASP
! Crystal system   tetragonal
! E_tot   -1.112 Ha/atom
! Formation energy without anion corrections   0.195 eV per atom
! Space-group type   I4/mmm
! Spin magnetization   0.00 μB/cell
&SYSTEM
  ibrav = 0, nat = 10, ntyp = 3
/
ATOMIC_SPECIES
Ru 101.07 Ru.upf
Pt 195.08 Pt.upf
O 16.00 O.upf
ATOMIC_POSITIONS angstrom
Ru 0.000 1.936 1.957
Ru 0.000 1.936 5.872
Ru 1.936 0.000 1.957
Ru 1.936 0.000 5.872
Pt 0.000 0.000 0.000
Pt 1.936 1.936 3.915
O 0.000 0.000 2.733
O 0.000 0.000 5.097
O 1.936 1.936 1.182
O 1.936 1.936 6.648
CELL_PARAMETERS angstrom
3.872 0.000 0.000
0.000 3.872 0.000
0.000 0.000 7.830